# 1
This record from the Alexandria database describes SmTm2Ti after structural relaxation. The functional is PBE.

CIF file:
```
data_SmTm2Ti
_chemical_formula_sum 'Sm1 Tm2 Ti1'
_space_group_name_H-M_alt 'P 1'
_space_group_IT_number 1
_cell_length_a 3.341
_cell_length_b 3.341
_cell_length_c 11.846
_cell_angle_alpha 81.89
_cell_angle_beta 81.89
_cell_angle_gamma 60.00
loop_
_space_group_symop_operation_xyz
'x,y,z'
loop_
_atom_site_label
_atom_site_type_symbol
_atom_site_fract_x
_atom_site_fract_y
_atom_site_fract_z
Sm1 Sm 0.500 0.500 0.500
Ti1 Ti 0.000 0.000 0.000
Tm1 Tm 0.917 0.917 0.249
Tm2 Tm 0.083 0.083 0.751
```

Computed properties:
Energy above the lowest structure with this stoichiometry ... 273 meV/atom
M_tot ... 1.9 μB per cell
Formation energy from the elements ... 0.419 eV/atom

# 2
This record from the Alexandria database describes KLiCa2Mo after structural relaxation. The functional is PBE.

CIF file:
```
data_KLiCa2Mo
_chemical_formula_sum 'K1 Li1 Ca2 Mo1'
_space_group_name_H-M_alt 'P 1'
_space_group_IT_number 1
_cell_length_a 5.809
_cell_length_b 6.480
_cell_length_c 5.809
_cell_angle_alpha 90.00
_cell_angle_beta 90.00
_cell_angle_gamma 90.00
loop_
_space_group_symop_operation_xyz
'x,y,z'
loop_
_atom_site_label
_atom_site_type_symbol
_atom_site_fract_x
_atom_site_fract_y
_atom_site_fract_z
Mo1 Mo 0.000 0.000 0.000
Ca1 Ca 0.500 0.000 0.000
Li1 Li 0.500 0.500 0.500
K1 K 0.000 0.500 0.000
Ca2 Ca 0.000 0.000 0.500
```

Computed properties:
M_tot ... 3.1 μB per cell
Formation energy from the elements ... 1.003 eV/atom

# 3
This record from the Alexandria database describes MoP3H after structural relaxation. The functional is PBE.

CIF file:
```
data_MoP3H
_chemical_formula_sum 'Mo1 P3 H1'
_space_group_name_H-M_alt 'P 1'
_space_group_IT_number 1
_cell_length_a 3.915
_cell_length_b 3.915
_cell_length_c 3.915
_cell_angle_alpha 90.00
_cell_angle_beta 90.00
_cell_angle_gamma 90.00
loop_
_space_group_symop_operation_xyz
'x,y,z'
loop_
_atom_site_label
_atom_site_type_symbol
_atom_site_fract_x
_atom_site_fract_y
_atom_site_fract_z
P1 P 0.000 0.500 0.000
H1 H 0.000 0.000 0.000
P2 P 0.000 0.000 0.500
P3 P 0.500 0.000 0.000
Mo1 Mo 0.500 0.500 0.500
```

Computed properties:
Energy above the lowest structure with this stoichiometry ... 0 meV/atom
M_tot ... 0.3 μB per cell

# 4
This record from the Alexandria database describes Cr2CoAs after structural relaxation. The functional is PBE.

CIF file:
```
data_Cr2CoAs
_chemical_formula_sum 'Cr2 Co1 As1'
_space_group_name_H-M_alt 'P 1'
_space_group_IT_number 1
_cell_length_a 3.890
_cell_length_b 2.650
_cell_length_c 4.787
_cell_angle_alpha 79.50
_cell_angle_beta 90.00
_cell_angle_gamma 90.00
loop_
_space_group_symop_operation_xyz
'x,y,z'
loop_
_atom_site_label
_atom_site_type_symbol
_atom_site_fract_x
_atom_site_fract_y
_atom_site_fract_z
Cr1 Cr 0.000 0.999 0.991
Co1 Co 0.500 0.595 0.756
Cr2 Cr 0.500 0.240 0.253
As1 As 0.000 0.666 0.500
```

Computed properties:
M_tot ... 0.0 μB per cell
Formation energy from the elements ... 0.105 eV/atom

# 5
This record from the Alexandria database describes ZrRuSe after structural relaxation. The functional is PBE.

CIF file:
```
data_ZrRuSe
_chemical_formula_sum 'Zr1 Ru1 Se1'
_space_group_name_H-M_alt 'P 1'
_space_group_IT_number 1
_cell_length_a 5.178
_cell_length_b 5.179
_cell_length_c 3.459
_cell_angle_alpha 70.48
_cell_angle_beta 70.50
_cell_angle_gamma 39.01
loop_
_space_group_symop_operation_xyz
'x,y,z'
loop_
_atom_site_label
_atom_site_type_symbol
_atom_site_fract_x
_atom_site_fract_y
_atom_site_fract_z
Zr1 Zr 0.661 0.661 0.339
Ru1 Ru 0.020 0.020 0.980
Se1 Se 0.319 0.319 0.681
```

Computed properties:
E_form (uncorrected) ... -377 meV per atom
M_tot ... 0.0 μB per cell

# 6
This record from the Alexandria database describes AcCdPd3Au after structural relaxation. The functional is PBE.

CIF file:
```
data_AcCdPd3Au
_chemical_formula_sum 'Ac2 Cd2 Pd6 Au2'
_space_group_name_H-M_alt 'P 1'
_space_group_IT_number 1
_cell_length_a 7.154
_cell_length_b 5.976
_cell_length_c 6.994
_cell_angle_alpha 115.29
_cell_angle_beta 90.00
_cell_angle_gamma 90.00
loop_
_space_group_symop_operation_xyz
'x,y,z'
loop_
_atom_site_label
_atom_site_type_symbol
_atom_site_fract_x
_atom_site_fract_y
_atom_site_fract_z
Cd1 Cd 0.750 0.641 0.282
Pd1 Pd 0.000 0.262 0.000
Ac1 Ac 0.250 0.664 0.327
Pd2 Pd 0.500 0.262 0.000
Pd3 Pd 0.750 0.864 0.727
Pd4 Pd 0.000 0.738 0.000
Cd2 Cd 0.250 0.359 0.718
Au1 Au 0.750 0.102 0.204
Au2 Au 0.250 0.898 0.796
Ac2 Ac 0.750 0.336 0.673
Pd5 Pd 0.250 0.136 0.273
Pd6 Pd 0.500 0.738 0.000
```

Computed properties:
M_tot ... 0.0 μB per cell
Formation energy from the elements ... -0.405 eV/atom

# 7
This record from the Alexandria database describes ZnNi6Rh after structural relaxation. The functional is PBE.

CIF file:
```
data_ZnNi6Rh
_chemical_formula_sum 'Zn4 Ni24 Rh4'
_space_group_name_H-M_alt 'P 1'
_space_group_IT_number 1
_cell_length_a 6.237
_cell_length_b 6.237
_cell_length_c 10.189
_cell_angle_alpha 90.00
_cell_angle_beta 90.00
_cell_angle_gamma 109.54
loop_
_space_group_symop_operation_xyz
'x,y,z'
loop_
_atom_site_label
_atom_site_type_symbol
_atom_site_fract_x
_atom_site_fract_y
_atom_site_fract_z
Ni1 Ni 0.126 0.375 0.376
Ni2 Ni 0.500 0.500 0.750
Ni3 Ni 0.625 0.874 0.124
Rh1 Rh 0.250 0.750 0.250
Ni4 Ni 0.126 0.376 0.874
Ni5 Ni 0.000 0.000 0.250
Ni6 Ni 0.750 0.250 0.000
Ni7 Ni 0.375 0.126 0.376
Zn1 Zn 0.750 0.250 0.750
Ni8 Ni 0.624 0.874 0.874
Ni9 Ni 0.874 0.625 0.124
Ni10 Ni 0.126 0.375 0.124
Ni11 Ni 0.874 0.624 0.874
Ni12 Ni 0.750 0.250 0.500
Ni13 Ni 0.250 0.750 0.500
Ni14 Ni 0.874 0.625 0.376
Ni15 Ni 0.376 0.126 0.874
Rh2 Rh 0.750 0.250 0.250
Ni16 Ni 0.500 0.500 0.250
Zn2 Zn 0.500 0.500 0.998
Ni17 Ni 0.376 0.126 0.626
Ni18 Ni 0.250 0.750 0.000
Ni19 Ni 0.624 0.874 0.626
Ni20 Ni 0.625 0.874 0.376
Ni21 Ni 0.375 0.126 0.124
Zn3 Zn 0.250 0.750 0.750
Ni22 Ni 0.126 0.376 0.626
Rh3 Rh 0.000 0.000 0.998
Zn4 Zn 0.500 0.500 0.502
Rh4 Rh 0.000 0.000 0.503
Ni23 Ni 0.000 0.000 0.750
Ni24 Ni 0.874 0.624 0.626
```

Computed properties:
Energy above the lowest structure with this stoichiometry ... 0 meV/atom
M_tot ... 16.5 μB per cell
Formation energy from the elements ... -0.051 eV/atom

# 8
This record from the Alexandria database describes BaMgZn2In4 after structural relaxation. The functional is PBE.

CIF file:
```
data_BaMgZn2In4
_chemical_formula_sum 'Ba1 Mg1 Zn2 In4'
_space_group_name_H-M_alt 'P 1'
_space_group_IT_number 1
_cell_length_a 4.832
_cell_length_b 4.832
_cell_length_c 10.950
_cell_angle_alpha 77.25
_cell_angle_beta 77.25
_cell_angle_gamma 60.00
loop_
_space_group_symop_operation_xyz
'x,y,z'
loop_
_atom_site_label
_atom_site_type_symbol
_atom_site_fract_x
_atom_site_fract_y
_atom_site_fract_z
Ba1 Ba 0.000 0.000 0.000
In1 In 0.871 0.871 0.387
In2 In 0.596 0.596 0.213
Zn1 Zn 0.254 0.254 0.237
Zn2 Zn 0.746 0.746 0.763
In3 In 0.404 0.404 0.787
Mg1 Mg 0.500 0.500 0.500
In4 In 0.129 0.129 0.613
```

Computed properties:
M_tot ... 0.0 μB per cell
Formation energy from the elements ... -0.130 eV/atom

# 9
This record from the Alexandria database describes Rh3PbCl after structural relaxation. The functional is PBE.

CIF file:
```
data_Rh3PbCl
_chemical_formula_sum 'Rh3 Pb1 Cl1'
_space_group_name_H-M_alt 'P 1'
_space_group_IT_number 1
_cell_length_a 5.097
_cell_length_b 5.097
_cell_length_c 5.097
_cell_angle_alpha 90.00
_cell_angle_beta 90.00
_cell_angle_gamma 90.00
loop_
_space_group_symop_operation_xyz
'x,y,z'
loop_
_atom_site_label
_atom_site_type_symbol
_atom_site_fract_x
_atom_site_fract_y
_atom_site_fract_z
Rh1 Rh 0.000 0.000 0.500
Pb1 Pb 0.000 0.000 0.000
Rh2 Rh 0.000 0.500 0.000
Cl1 Cl 0.500 0.500 0.500
Rh3 Rh 0.500 0.000 0.000
```

Computed properties:
E_form (uncorrected) ... 1449 meV per atom
Energy above the lowest structure with this stoichiometry ... 853 meV/atom
M_tot ... 2.6 μB per cell

# 10
This record from the Alexandria database describes Pm2CdAu6 after structural relaxation. The functional is PBE.

CIF file:
```
data_Pm2CdAu6
_chemical_formula_sum 'Pm2 Cd1 Au6'
_space_group_name_H-M_alt 'P 1'
_space_group_IT_number 1
_cell_length_a 5.561
_cell_length_b 6.446
_cell_length_c 6.446
_cell_angle_alpha 120.00
_cell_angle_beta 90.00
_cell_angle_gamma 90.00
loop_
_space_group_symop_operation_xyz
'x,y,z'
loop_
_atom_site_label
_atom_site_type_symbol
_atom_site_fract_x
_atom_site_fract_y
_atom_site_fract_z
Au1 Au 0.822 0.373 0.186
Pm1 Pm 0.670 0.333 0.667
Cd1 Cd 0.500 0.000 0.000
Pm2 Pm 0.330 0.667 0.333
Au2 Au 0.822 0.814 0.627
Au3 Au 0.178 0.186 0.373
Au4 Au 0.178 0.186 0.814
Au5 Au 0.178 0.627 0.814
Au6 Au 0.822 0.814 0.186
```

Computed properties:
M_tot ... 0.0 μB per cell
Formation energy from the elements ... -0.549 eV/atom

Uncorrected energy: -4.971 -2.566 -5.312 -7.645 -7.480 -4.385 -5.465 -2.258 -4.073 -3.891 (eV per atom)
Ρ: 7.9 1.7 5.3 8.1 8.2 10.5 9.3 5.8 6.9 13.1 (g/cm3)